First-principles (PBE) data for crystalline HfRuRhPb at its relaxed geometry, as listed in the Alexandria database.

Unit cell a=6.5613 b=6.5613 c=6.5613 alpha=90.00 beta=90.00 gamma=90.00
Last column: nearest neighbours and their distance in Å.
Space group F-43m (No. 216)
Asymmetric unit:
Hf: 0.0000 0.0000 0.0000 [4 per cell]  4 Ru 2.84, 4 Rh 2.84
Ru: 0.2500 0.2500 0.2500 [4 per cell]  4 Hf 2.84, 4 Pb 2.84
Rh: 0.2500 0.2500 0.7500 [4 per cell]  4 Hf 2.84, 4 Pb 2.84
Pb: 0.0000 0.0000 0.5000 [4 per cell]  4 Ru 2.84, 4 Rh 2.84

Summary:
E: -7.908 eV per atom
Crystal system: cubic
Formation energy from the elements: -32 kJ per mole of atoms